Record 1
Material: SbTeOs2Au
Method: DFT, PBE-GGA
State: relaxed

## Properties
- space group = P4/mmm (123)
- V (Å³/cell) = 131.2
- DFT total energy (eV/cell) = -22.40
- DOS at the Fermi energy (states/eV per atom) = 1.12
- total moment (μB/cell) = 1.233
- ΔE_f (raw) (eV/f.u.) = 10.6

a b c (Å): 4.8350 5.6117 4.8350
angles (deg): 90.00 90.00 90.00
Atoms (fractional coordinates):
Os  0.0000  0.0000  0.5000
Sb  0.0000  0.5000  0.0000
Os  0.5000  0.0000  0.0000
Te  0.0000  0.0000  0.0000
Au  0.5000  0.5000  0.5000

***

Record 2
Material: TiSbOs2Au
Method: DFT, PBE-GGA
State: relaxed

## Properties
- space group = P4/mmm (123)
- V (Å³/cell) = 114.9
- DFT total energy (eV/cell) = -28.71
- DOS at the Fermi energy (states/eV per atom) = 1.51
- total moment (μB/cell) = 0.020
- ΔE_f (raw) (eV/f.u.) = 9.0

a b c (Å): 4.8144 4.9584 4.8144
angles (deg): 90.00 90.00 90.00
Atoms (fractional coordinates):
Au  0.0000  0.5000  0.0000
Os  0.5000  0.0000  0.0000
Sb  0.0000  0.0000  0.0000
Ti  0.5000  0.5000  0.5000
Os  0.0000  0.0000  0.5000

***

Record 3
Material: ScOsAu2
Method: DFT, PBE-GGA
State: relaxed

## Properties
- space group = P4mm (99)
- ΔE_f (meV/atom) = -20
- V (Å³/cell) = 70.4
- DFT total energy (eV/cell) = -24.20
- DOS at the Fermi energy (states/eV per atom) = 1.19
- total moment (μB/cell) = 0.184

a b c (Å): 2.9236 2.9236 8.2398
angles (deg): 90.00 90.00 90.00
Atoms (fractional coordinates):
Sc  0.5000  0.5000  0.7340
Os  0.0000  0.0000  0.5065
Au  0.5000  0.5000  0.2631
Au  0.0000  0.0000  0.9964

***

Record 4
Material: Sc5Os4Au
Method: DFT, PBE-GGA
State: relaxed

## Properties
- space group = P4/mmm (123)
- ΔE_f (meV/atom) = -479
- V (Å³/cell) = 172.4
- DFT total energy (eV/cell) = -84.64
- DOS at the Fermi energy (states/eV per atom) = 0.71
- total moment (μB/cell) = 0.000

a b c (Å): 3.2493 3.2493 16.3260
angles (deg): 90.00 90.00 90.00
Atoms (fractional coordinates):
Os  0.0000  0.0000  0.2040
Au  0.0000  0.0000  0.0000
Sc  0.5000  0.5000  0.5000
Os  0.0000  0.0000  0.4019
Os  0.0000  0.0000  0.5981
Sc  0.5000  0.5000  0.8858
Sc  0.5000  0.5000  0.3059
Sc  0.5000  0.5000  0.1142
Sc  0.5000  0.5000  0.6941
Os  0.0000  0.0000  0.7960